1.
# Pa4Tl3O12

Pa4Tl3O12 after structural relaxation (PBE, Alexandria via LeMat-Bulk).

Summary:
E_form (uncorrected)   -5115.0 kJ/mol of formula units
Symmetry   No. 204
Calculated volume   333 Å³/f.u.
Final energy   -157.59 eV for the cell shown
Fermi-level density of states   8.810 states/eV/cell

a = 7.5646 Å, b = 7.5646 Å, c = 7.5646 Å
α = 109.47°, β = 109.47°, γ = 109.47°
Element x y z (fractional)
O (0.7294, 0.9655, 0.2360)
O (0.7294, 0.4934, 0.7640)
O (0.2706, 0.5066, 0.2360)
Pa (0.0000, 0.0000, 0.5000)
O (0.4934, 0.7640, 0.7294)
O (0.5066, 0.2360, 0.2706)
Tl (0.5000, 0.5000, 0.0000)
O (0.7640, 0.2706, 0.0345)
Tl (0.5000, 0.0000, 0.5000)
O (0.2360, 0.7294, 0.9655)
O (0.2706, 0.0345, 0.7640)
Pa (0.5000, 0.0000, 0.0000)
O (0.7640, 0.7294, 0.4934)
O (0.9655, 0.2360, 0.7294)
Pa (0.5000, 0.5000, 0.5000)
Tl (0.0000, 0.5000, 0.5000)
O (0.2360, 0.2706, 0.5066)
O (0.0345, 0.7640, 0.2706)
Pa (0.0000, 0.5000, 0.0000)

---

2.
# TmPa3Tl4O12

TmPa3Tl4O12 after structural relaxation (PBE, Alexandria via LeMat-Bulk).

Summary:
E_form (uncorrected)   -4814.6 kJ/mol of formula units
Symmetry   No. 229
Calculated volume   339 Å³/f.u.
Final energy   -151.82 eV for the cell shown
Fermi-level density of states   12.954 states/eV/cell

a = 7.6076 Å, b = 7.6076 Å, c = 7.6076 Å
α = 109.47°, β = 109.47°, γ = 109.47°
Element x y z (fractional)
O (0.5000, 0.7500, 0.2500)
O (0.7439, 0.7439, 0.0000)
O (0.5000, 0.2500, 0.7500)
O (0.7500, 0.5000, 0.2500)
O (0.2500, 0.7500, 0.5000)
O (0.0000, 0.2561, 0.2561)
O (0.7500, 0.2500, 0.5000)
Tl (0.5000, 0.5000, 0.5000)
Tl (0.5000, 0.0000, 0.0000)
Pa (0.5000, 0.0000, 0.5000)
Pa (0.5000, 0.5000, 0.0000)
O (0.7439, 0.0000, 0.7439)
O (0.2500, 0.5000, 0.7500)
Tl (0.0000, 0.5000, 0.0000)
O (0.2561, 0.0000, 0.2561)
O (0.0000, 0.7439, 0.7439)
Tm (0.0000, 0.0000, 0.0000)
Pa (0.0000, 0.5000, 0.5000)
O (0.2561, 0.2561, 0.0000)
Tl (0.0000, 0.0000, 0.5000)

---

3.
# TmPa3Tl2O12

TmPa3Tl2O12 after structural relaxation (PBE, Alexandria via LeMat-Bulk).

Summary:
E_form (uncorrected)   -4320.8 kJ/mol of formula units
Symmetry   No. 166
Calculated volume   383 Å³/f.u.
Final energy   -141.97 eV for the cell shown
Fermi-level density of states   14.841 states/eV/cell

a = 8.0509 Å, b = 8.0509 Å, c = 8.0509 Å
α = 61.65°, β = 61.65°, γ = 61.65°
Element x y z (fractional)
Pa (0.0000, 0.0000, 0.5000)
Tm (0.0000, 0.0000, 0.0000)
O (0.9376, 0.3207, 0.9376)
Tl (0.6807, 0.6807, 0.6807)
O (0.0624, 0.6793, 0.0624)
O (0.6793, 0.0624, 0.0624)
O (0.9588, 0.3101, 0.3101)
O (0.0412, 0.6899, 0.6899)
O (0.3101, 0.9588, 0.3101)
O (0.0624, 0.0624, 0.6793)
Tl (0.3193, 0.3193, 0.3193)
O (0.3207, 0.9376, 0.9376)
O (0.9376, 0.9376, 0.3207)
O (0.3101, 0.3101, 0.9588)
O (0.6899, 0.6899, 0.0412)
Pa (0.5000, 0.0000, 0.0000)
Pa (0.0000, 0.5000, 0.0000)
O (0.6899, 0.0412, 0.6899)

---

4.
# TmPa2TlO8

TmPa2TlO8 after structural relaxation (PBE, Alexandria via LeMat-Bulk).

Summary:
E_form (uncorrected)   -3502.1 kJ/mol of formula units
Symmetry   No. 82
Calculated volume   159 Å³/f.u.
Final energy   -101.79 eV for the cell shown
Fermi-level density of states   0.000 states/eV/cell

a = 5.4049 Å, b = 5.4049 Å, c = 6.6520 Å
α = 113.97°, β = 113.97°, γ = 90.00°
Element x y z (fractional)
O (0.1399, 0.1312, 0.7151)
Pa (0.5000, 0.5000, 0.0000)
O (0.3534, 0.3580, 0.2252)
O (0.5752, 0.5839, 0.7151)
Tm (0.7500, 0.2500, 0.5000)
O (0.8688, 0.4248, 0.2849)
Pa (0.2500, 0.7500, 0.5000)
O (0.4161, 0.8601, 0.2849)
O (0.6420, 0.1282, 0.7748)
O (0.1328, 0.6466, 0.7748)
Tl (0.0000, 0.0000, 0.0000)
O (0.8718, 0.8672, 0.2252)

---

5.
# TmPaTl2O8

TmPaTl2O8 after structural relaxation (PBE, Alexandria via LeMat-Bulk).

Summary:
E_form (uncorrected)   -2083.3 kJ/mol of formula units
Symmetry   No. 119
Calculated volume   184 Å³/f.u.
Final energy   -79.96 eV for the cell shown
Fermi-level density of states   10.721 states/eV/cell

a = 6.2147 Å, b = 6.2147 Å, c = 6.2147 Å
α = 111.59°, β = 111.59°, γ = 105.31°
Element x y z (fractional)
O (0.9744, 0.2865, 0.3121)
Tl (0.5000, 0.5000, 0.0000)
O (0.2712, 0.4509, 0.1796)
O (0.3377, 0.0256, 0.3121)
O (0.9744, 0.6623, 0.6879)
O (0.2712, 0.0916, 0.8204)
Tm (0.2500, 0.7500, 0.5000)
O (0.7135, 0.0256, 0.6879)
O (0.5491, 0.7288, 0.8204)
O (0.9084, 0.7288, 0.1796)
Pa (0.0000, 0.0000, 0.0000)
Tl (0.7500, 0.2500, 0.5000)

---

6.
# UPa3Tl2O12

UPa3Tl2O12 after structural relaxation (PBE, Alexandria via LeMat-Bulk).

Summary:
E_form (uncorrected)   -4936.3 kJ/mol of formula units
Symmetry   No. 166
Calculated volume   370 Å³/f.u.
Final energy   -155.17 eV for the cell shown
Fermi-level density of states   17.346 states/eV/cell

a = 8.0898 Å, b = 8.0898 Å, c = 8.0898 Å
α = 59.54°, β = 59.54°, γ = 59.54°
Element x y z (fractional)
O (0.6959, 0.0604, 0.0604)
O (0.9251, 0.3208, 0.3208)
O (0.0604, 0.6959, 0.0604)
O (0.9396, 0.9396, 0.3041)
O (0.0749, 0.6792, 0.6792)
Pa (0.0000, 0.0000, 0.5000)
O (0.3208, 0.3208, 0.9251)
O (0.3041, 0.9396, 0.9396)
O (0.6792, 0.6792, 0.0749)
O (0.3208, 0.9251, 0.3208)
O (0.9396, 0.3041, 0.9396)
U (0.0000, 0.0000, 0.0000)
Tl (0.4074, 0.4074, 0.4074)
Tl (0.5926, 0.5926, 0.5926)
O (0.0604, 0.0604, 0.6959)
O (0.6792, 0.0749, 0.6792)
Pa (0.0000, 0.5000, 0.0000)
Pa (0.5000, 0.0000, 0.0000)